La5TbY3: optimized geometry, PBE.

The space group is C2/c (No. 15) and the conventional cell measures 19.077, 6.544 and 11.567 Å, with angles of 90.00, 114.90 and 90.00 degrees. The distinct sites, in fractional coordinates, are La at (0.000, 0.091, 0.250), La at (0.169, 0.209, 0.710), La at (0.171, 0.315, 0.362), Tb at (0.000, 0.374, 0.750), Y at (0.000, 0.500, 0.000) and Y at (0.159, 0.213, 0.015).

The formation energy from the elements comes out at 2.164 eV per formula unit. The energy relative to the lowest polymorph listed for this composition comes out at 0 meV/atom. The crystal system is monoclinic. The value obtained for the raw total energy is -186.0 eV/cell.

LaTb4Y5: optimized geometry, PBE.

The space group is C2/m (No. 12) and the conventional cell measures 22.081, 3.703 and 8.175 Å, with angles of 90.00, 97.21 and 90.00 degrees. The distinct sites, in fractional coordinates, are La at (0.000, 0.000, 0.000), Tb at (0.113, 0.500, 0.332), Tb at (0.188, 0.000, 0.054), Y at (0.000, 0.000, 0.500), Y at (0.098, 0.500, 0.757) and Y at (0.217, 0.000, 0.641).

The formation energy from the elements comes out at 0.623 eV per formula unit. The energy relative to the lowest polymorph listed for this composition comes out at 0 meV/atom. The crystal system is monoclinic. The value obtained for the raw total energy is -110.3 eV/cell.

La12TbY6: optimized geometry, PBE.

The space group is R-3 (No. 148, hexagonal axes) and the conventional cell measures 15.9999, 15.9999 and 9.0533 Å, with angles of 90.00, 90.00 and 120.00 degrees. The distinct sites, in fractional coordinates, are La at (0.0351, 0.2808, 0.3339), La at (0.0709, 0.5620, 0.6663), Tb at (0.0000, 0.0000, 0.0000) and Y at (0.0167, 0.1371, 0.6655).

The formation energy from the elements comes out at 0.384 eV per formula unit. The crystal system is trigonal. The value obtained for the raw total energy is -306.5 eV/cell.

La2Tb7Y2: optimized geometry, PBE.

The space group is P-1 (No. 2) and the conventional cell measures 6.631, 6.735 and 8.994 Å, with angles of 110.98, 99.19 and 95.49 degrees. The distinct sites, in fractional coordinates, are La at (0.219, 0.177, 0.071), Tb at (0.000, 0.500, 0.500), Tb at (0.110, 0.923, 0.333), Tb at (0.379, 0.931, 0.714), Tb at (0.497, 0.620, 0.362) and Y at (0.250, 0.610, 0.949).

The formation energy from the elements comes out at 0.914 eV per formula unit. The energy relative to the lowest polymorph listed for this composition comes out at 0 meV/atom. The crystal system is triclinic. The value obtained for the raw total energy is -54.3 eV/cell.

La3Tb4Y5: optimized geometry, PBE.

The space group is C2/m (No. 12) and the conventional cell measures 16.242, 5.995 and 9.363 Å, with angles of 90.00, 116.58 and 90.00 degrees. The distinct sites, in fractional coordinates, are La at (0.000, 0.000, 0.000), La at (0.207, 0.500, 0.225), Tb at (0.081, 0.500, 0.440), Tb at (0.207, 0.500, 0.873), Y at (0.000, 0.500, 0.000), Y at (0.074, 0.000, 0.699) and Y at (0.172, 0.000, 0.392).

The formation energy from the elements comes out at 2.876 eV per formula unit. The energy relative to the lowest polymorph listed for this composition comes out at 216 meV/atom. The crystal system is monoclinic. The value obtained for the raw total energy is -125.5 eV/cell.

La6TbY2: optimized geometry, PBE.

The space group is Cmmm (No. 65) and the conventional cell measures 9.519, 17.945 and 3.715 Å, with angles of 90.00, 90.00 and 90.00 degrees. The distinct sites, in fractional coordinates, are La at (0.171, 0.166, 0.000), La at (0.179, 0.000, 0.500), Tb at (0.000, 0.500, 0.000) and Y at (0.000, 0.327, 0.500).

The formation energy from the elements comes out at 1.002 eV per formula unit. The energy relative to the lowest polymorph listed for this composition comes out at 0 meV/atom. The crystal system is orthorhombic. The value obtained for the raw total energy is -92.2 eV/cell.

LaTb2Y7: optimized geometry, PBE.

The space group is Cmmm (No. 65) and the conventional cell measures 8.832, 16.009 and 5.694 Å, with angles of 90.00, 90.00 and 90.00 degrees. The distinct sites, in fractional coordinates, are La at (0.000, 0.000, 0.000), Tb at (0.000, 0.297, 0.500), Y at (0.000, 0.225, 0.000), Y at (0.000, 0.500, 0.500) and Y at (0.177, 0.118, 0.500).

The formation energy from the elements comes out at 6.853 eV per formula unit. The energy relative to the lowest polymorph listed for this composition comes out at 661 meV/atom. The crystal system is orthorhombic. The value obtained for the raw total energy is -105.2 eV/cell.

LaTb7Y5: optimized geometry, PBE.

The space group is Imm2 (No. 44) and the conventional cell measures 6.714, 11.348 and 11.613 Å, with angles of 90.00, 90.00 and 90.00 degrees. The distinct sites, in fractional coordinates, are La at (0.000, 0.000, 0.000), Tb at (0.000, 0.000, 0.314), Tb at (0.000, 0.000, 0.602), Tb at (0.000, 0.297, 0.529), Tb at (0.000, 0.344, 0.027), Tb at (0.000, 0.500, 0.320), Y at (0.000, 0.500, 0.749) and Y at (0.238, 0.230, 0.780).

The formation energy from the elements comes out at 3.366 eV per formula unit. The crystal system is orthorhombic. The value obtained for the raw total energy is -132.6 eV/cell.

La6Tb12Y: optimized geometry, PBE.

The space group is R-3m (No. 166, hexagonal axes) and the conventional cell measures 15.7129, 15.7129 and 9.4762 Å, with angles of 90.00, 90.00 and 120.00 degrees. The distinct sites, in fractional coordinates, are La at (0.0293, 0.5146, 0.1903), Tb at (0.0000, 0.3931, 0.5000), Tb at (0.0671, 0.1341, 0.3203) and Y at (0.0000, 0.0000, 0.0000).

The formation energy from the elements comes out at 7.915 eV per formula unit. The energy relative to the lowest polymorph listed for this composition comes out at 275 meV/atom. The crystal system is trigonal. The value obtained for the raw total energy is -251.0 eV/cell.

La3Tb3Y2: optimized geometry, PBE.

The space group is P-1 (No. 2) and the conventional cell measures 6.262, 6.316 and 8.121 Å, with angles of 105.01, 104.79 and 109.46 degrees. The distinct sites, in fractional coordinates, are La at (0.000, 0.000, 0.000), La at (0.123, 0.624, 0.247), Tb at (0.376, 0.876, 0.751), Tb at (0.500, 0.500, 0.000) and Y at (0.251, 0.251, 0.501).

The formation energy from the elements comes out at 0.176 eV per formula unit. The energy relative to the lowest polymorph listed for this composition comes out at 0 meV/atom. The crystal system is triclinic. The value obtained for the raw total energy is -41.4 eV/cell.

La5TbY2: optimized geometry, PBE.

The space group is Cmcm (No. 63) and the conventional cell measures 5.709, 12.161 and 16.558 Å, with angles of 90.00, 90.00 and 90.00 degrees. The distinct sites, in fractional coordinates, are La at (0.000, 0.029, 0.250), La at (0.000, 0.113, 0.553), La at (0.000, 0.422, 0.593), Tb at (0.000, 0.251, 0.750) and Y at (0.000, 0.275, 0.136).

The formation energy from the elements comes out at 0.913 eV per formula unit. The crystal system is orthorhombic. The value obtained for the raw total energy is -165.1 eV/cell.

La3Tb4Y: optimized geometry, PBE.

The space group is Immm (No. 71) and the conventional cell measures 3.519, 11.870 and 13.182 Å, with angles of 90.00, 90.00 and 90.00 degrees. The distinct sites, in fractional coordinates, are La at (0.000, 0.000, 0.000), La at (0.000, 0.500, 0.245), Tb at (0.000, 0.245, 0.366) and Y at (0.000, 0.000, 0.500).

The formation energy from the elements comes out at 1.031 eV per formula unit. The energy relative to the lowest polymorph listed for this composition comes out at 127 meV/atom. The crystal system is orthorhombic. The value obtained for the raw total energy is -77.5 eV/cell.